No. 1
Here is an optimized crystal structure of GdErAl3Ge2 from the Open Quantum Materials Database. Energies are from PBE-GGA.

a = 5.5340 Å, b = 5.5340 Å, c = 6.7576 Å
α = 99.38°, β = 99.38°, γ = 43.23°
Closest atoms and distances in Å follow each position.
Positions (direct):
Gd  0.0000  0.0000  0.0000  5 Ge 2.89-3.07, 4 Al 3.06-3.23
Er  0.2330  0.2330  0.6330  5 Ge 2.89-3.06, 5 Al 3.03-3.22
Al  0.3136  0.3136  0.1943  2 Ge 2.68, 2 Al 2.74
Al  0.6178  0.6178  0.3185  2 Ge 2.78-2.80, 2 Er 3.03, 2 Gd 3.06, 6 Al 3.06-3.11
Al  0.9188  0.9188  0.4420  2 Ge 2.66, 2 Al 2.74
Ge  0.5169  0.5169  0.6736  1 Ge 2.55, 3 Al 2.66-2.78
Ge  0.7160  0.7160  0.9567  1 Ge 2.55, 3 Al 2.68-2.80

## Properties
- Space group: Cm



No. 2
Here is an optimized crystal structure of LuBeFePb from the Open Quantum Materials Database. Energies are from PBE-GGA.

a = 4.6115 Å, b = 4.6115 Å, c = 4.6115 Å
α = 60.00°, β = 60.00°, γ = 60.00°
Closest atoms and distances in Å follow each position.
Positions (direct):
Lu  0.0000  0.0000  0.0000  4 Fe 2.82, 4 Be 2.82
Be  0.2500  0.2500  0.2500  4 Pb 2.82, 4 Lu 2.82
Fe  0.7500  0.7500  0.7500  4 Pb 2.82, 4 Lu 2.82
Pb  0.5000  0.5000  0.5000  4 Fe 2.82, 4 Be 2.82

## Properties
- Space group: F-43m
- Distance to the lowest polymorph of the same formula: 0.0 meV/atom



No. 3
Here is an optimized crystal structure of TbCo3 from the Open Quantum Materials Database. Energies are from PBE-GGA.

a = 3.8618 Å, b = 3.8618 Å, c = 3.8618 Å
α = 90.00°, β = 90.00°, γ = 90.00°
Closest atoms and distances in Å follow each position.
Positions (direct):
Tb  0.0000  0.0000  0.0000  12 Co 2.73
Co  0.0000  0.5000  0.5000  4 Tb 2.73, 8 Co 2.73
Co  0.5000  0.0000  0.5000  4 Tb 2.73, 8 Co 2.73
Co  0.5000  0.5000  0.0000  4 Tb 2.73, 8 Co 2.73

## Properties
- Space group: Pm-3m
- DFT formation energy: 0.172 eV per atom



No. 4
Here is an optimized crystal structure of ThZr from the Open Quantum Materials Database. Energies are from PBE-GGA.

a = 6.7666 Å, b = 5.6292 Å, c = 8.9085 Å
α = 90.00°, β = 101.78°, γ = 90.00°
Closest atoms and distances in Å follow each position.
Positions (direct):
Th  0.0235  0.2500  0.1171  5 Zr 3.29-3.49, 7 Th 3.35-3.51
Th  0.3184  0.7500  0.2368  6 Zr 3.14-3.44, 5 Th 3.39-3.51
Th  0.4691  0.7500  0.8730  4 Zr 3.21-3.46, 7 Th 3.35-3.59
Th  0.5309  0.2500  0.1270  4 Zr 3.21-3.46, 7 Th 3.35-3.59
Th  0.6816  0.2500  0.7632  6 Zr 3.14-3.44, 5 Th 3.39-3.51
Th  0.9765  0.7500  0.8829  5 Zr 3.29-3.49, 7 Th 3.35-3.51
Zr  0.1384  0.7500  0.5584  3 Th 3.21-3.33, 9 Zr 3.22-3.52
Zr  0.1758  0.2500  0.7660  4 Zr 3.15-3.35, 7 Th 3.34-3.49
Zr  0.3473  0.2500  0.4623  5 Th 3.14-3.46, 6 Zr 3.15-3.48
Zr  0.6527  0.7500  0.5377  5 Th 3.14-3.46, 6 Zr 3.15-3.48
Zr  0.8242  0.7500  0.2340  4 Zr 3.15-3.35, 7 Th 3.34-3.49
Zr  0.8616  0.2500  0.4416  3 Th 3.21-3.33, 9 Zr 3.22-3.52

## Properties
- Space group: P2_1/m
- DFT formation energy: 0.117 eV per atom



Number 1: calculated total energy -4.778 eV/atom. Number 2: calculated total energy -4.757 eV/atom. Number 3: calculated total energy -6.315 eV/atom. Number 4: calculated total energy -7.864 eV/atom.